P | ## SiMo2O (PBE with a Hubbard U)

Data for a relaxed SiMo2O crystal.

## Properties
Total magnetic moment ... 8.1 Bohr magnetons per cell
Density of states at the Fermi level ... 0.4792 states/eV per atom
Crystal system ... cubic

Cell lengths 5.9857, 5.9857, 5.9857 Å; angles 90.00, 90.00, 90.00 degrees
Last column: nearest neighbours and their distance in Å.
Space group Fm-3m (No. 225)
Inequivalent atoms, fractional coordinates:
Si1 0.0000 0.0000 0.0000 x4  8 Mo 2.59
Mo1 0.2500 0.2500 0.2500 x8  4 O 2.59, 4 Si 2.59
O1 0.0000 0.0000 0.5000 x4  8 Mo 2.59


Q | ## SiMo2O (PBE with a Hubbard U)

Data for a relaxed SiMo2O crystal.

## Properties
Total magnetic moment ... 17.0 Bohr magnetons per cell
Density of states at the Fermi level ... 0.4244 states/eV per atom
Crystal system ... tetragonal

Cell lengths 5.3243, 5.3243, 10.2694 Å; angles 90.00, 90.00, 90.00 degrees
Last column: nearest neighbours and their distance in Å.
Space group I-42d (No. 122)
Inequivalent atoms, fractional coordinates:
Si1 0.0000 0.0000 0.0000 x4  4 Mo 2.49
Mo1 0.1875 0.2500 0.6250 x8  2 O 2.10
O1 0.0000 0.0000 0.5000 x4  4 Mo 2.10


Relative to the most stable structure, the computed energies are P 0.336; Q 0.000, all in eV/atom.


P | ## Sm3MoO6 (PBE with a Hubbard U)

Data for a relaxed Sm3MoO6 crystal.

## Properties
Total magnetic moment ... 18.0 Bohr magnetons per cell
Density of states at the Fermi level ... 0.0000 states/eV per atom
Crystal system ... trigonal

Cell lengths 9.8020, 9.8020, 11.2452 Å; angles 90.00, 90.00, 120.00 degrees
Last column: nearest neighbours and their distance in Å.
Space group R-3 (No. 148, hexagonal axes)
Inequivalent atoms, fractional coordinates:
Sm1 0.0406 0.7744 0.2052 x18  6 O 2.30-2.40
Mo1 0.0000 0.0000 0.0000 x3  6 O 2.17
Mo2 0.0000 0.0000 0.5000 x3  6 O 2.22
O1 0.0283 0.8175 0.4049 x18  1 Mo 2.22, 3 Sm 2.30-2.40
O2 0.0279 0.8428 0.8793 x18  1 Mo 2.17, 3 Sm 2.34-2.36


Q | ## Sm3MoO6 (PBE with a Hubbard U)

Data for a relaxed Sm3MoO6 crystal.

## Properties
Total magnetic moment ... 12.0 Bohr magnetons per cell
Crystal system ... orthorhombic

Cell lengths 9.2245, 11.3161, 5.7256 Å; angles 90.00, 90.00, 90.00 degrees
Last column: nearest neighbours and their distance in Å.
Space group Cmc2_1 (No. 36)
Inequivalent atoms, fractional coordinates:
Sm1 0.0000 0.1033 0.0000 x4  7 O 2.36-2.58
Sm2 0.2070 0.3821 0.9476 x8  6 O 2.30-2.50
Mo1 0.0000 0.3562 0.4371 x4  5 O 2.10-2.26
O1 0.0000 0.2784 0.7700 x4  1 Mo 2.10
O2 0.0000 0.4865 0.1386 x4  2 Mo 2.12-2.26
O3 0.1480 0.2491 0.2504 x8  1 Mo 2.12, 2 Sm 2.30-2.36
O4 0.1595 0.0140 0.7245 x8  4 Sm 2.32-2.38


Relative to the most stable structure, the computed energies are P 0.000; Q 0.103, all in eV/atom.


P | ## Sn2Mo2O (PBE with a Hubbard U)

Data for a relaxed Sn2Mo2O crystal.

## Properties
Total magnetic moment ... 15.4 Bohr magnetons per cell
Density of states at the Fermi level ... 0.4175 states/eV per atom
Crystal system ... tetragonal

Cell lengths 6.6063, 6.6063, 4.8159 Å; angles 90.00, 90.00, 90.00 degrees
Last column: nearest neighbours and their distance in Å.
Space group P4/mbm (No. 127)
Inequivalent atoms, fractional coordinates:
Sn1 0.1683 0.3317 0.0000 x4  2 O 2.46
Mo1 0.1595 0.6595 0.5000 x4  6 Sn 2.90-3.24, 1 Mo 2.98
O1 0.0000 0.0000 0.0000 x2  4 Sn 2.46


Q | ## Sn2Mo2O (PBE with a Hubbard U)

Data for a relaxed Sn2Mo2O crystal.

## Properties
Total magnetic moment ... 0.0 Bohr magnetons per cell
Density of states at the Fermi level ... 0.9084 states/eV per atom
Crystal system ... tetragonal

Cell lengths 3.6093, 3.6093, 14.8313 Å; angles 90.00, 90.00, 90.00 degrees
Last column: nearest neighbours and their distance in Å.
Space group I4/mmm (No. 139)
Inequivalent atoms, fractional coordinates:
Sn1 0.0000 0.0000 0.0911 x4  1 Sn 2.70, 4 O 2.89, 4 Mo 2.97
Mo1 0.0000 0.5000 0.2500 x4  4 Mo 2.55
O1 0.0000 0.0000 0.5000 x2  8 Sn 2.89


Relative to the most stable structure, the computed energies are P 0.000; Q 0.374, all in eV/atom.


P | ## SnMo2O (PBE with a Hubbard U)

Data for a relaxed SnMo2O crystal.

## Properties
Total magnetic moment ... 0.0 Bohr magnetons per cell
Density of states at the Fermi level ... 1.0841 states/eV per atom
Crystal system ... cubic

Cell lengths 6.3252, 6.3252, 6.3252 Å; angles 90.00, 90.00, 90.00 degrees
Last column: nearest neighbours and their distance in Å.
Space group Fm-3m (No. 225)
Inequivalent atoms, fractional coordinates:
Sn1 0.0000 0.0000 0.0000 x4  8 Mo 2.74
Mo1 0.2500 0.2500 0.2500 x8  4 O 2.74, 4 Sn 2.74
O1 0.0000 0.0000 0.5000 x4  8 Mo 2.74


Q | ## SnMo2O (PBE with a Hubbard U)

Data for a relaxed SnMo2O crystal.

## Properties
Total magnetic moment ... 16.1 Bohr magnetons per cell
Density of states at the Fermi level ... 0.1667 states/eV per atom
Crystal system ... tetragonal

Cell lengths 6.6557, 6.6557, 6.4400 Å; angles 90.00, 90.00, 90.00 degrees
Last column: nearest neighbours and their distance in Å.
Space group I-42d (No. 122)
Inequivalent atoms, fractional coordinates:
Sn1 0.0000 0.0000 0.0000 x4  8 Mo 3.03-3.08, 2 O 3.22
Mo1 0.1393 0.2500 0.6250 x8  2 O 2.07
O1 0.0000 0.0000 0.5000 x4  4 Mo 2.07


Relative to the most stable structure, the computed energies are P 1.092; Q 0.000, all in eV/atom.


P | ## Sr2TiMoO6 (PBE with a Hubbard U)

Data for a relaxed Sr2TiMoO6 crystal.

## Properties
Total magnetic moment ... 4.0 Bohr magnetons per cell
Crystal system ... monoclinic

Cell lengths 5.7001, 5.6724, 9.7631 Å; angles 90.00, 125.52, 90.00 degrees
Last column: nearest neighbours and their distance in Å.
Space group P2_1/c (No. 14)
Inequivalent atoms, fractional coordinates:
Sr1 0.2458 0.0126 0.2494 x4  8 O 2.59-2.87
Ti1 0.0000 0.0000 0.5000 x2  6 O 1.95-2.01
Mo1 0.5000 0.0000 0.0000 x2  6 O 2.03-2.11
O1 0.1945 0.2417 0.9728 x4  1 Ti 1.95, 1 Mo 2.11
O2 0.2394 0.7307 0.9742 x4  1 Ti 2.01, 1 Mo 2.04
O3 0.2972 0.0047 0.7471 x4  1 Ti 1.99, 1 Mo 2.03


Q | ## Sr2TiMoO6 (PBE with a Hubbard U)

Data for a relaxed Sr2TiMoO6 crystal.

## Properties
Total magnetic moment ... 4.0 Bohr magnetons per cell
Density of states at the Fermi level ... 0.2188 states/eV per atom
Crystal system ... tetragonal

Cell lengths 5.6654, 5.6654, 7.9921 Å; angles 90.00, 90.00, 90.00 degrees
Last column: nearest neighbours and their distance in Å.
Space group I4/m (No. 87)
Inequivalent atoms, fractional coordinates:
Sr1 0.0000 0.5000 0.2500 x4  8 O 2.64-2.83
Ti1 0.0000 0.0000 0.0000 x2  6 O 1.98
Mo1 0.0000 0.0000 0.5000 x2  6 O 2.01-2.07
O1 0.0000 0.0000 0.2481 x4  1 Ti 1.98, 1 Mo 2.01
O2 0.2096 0.7215 0.0000 x8  1 Ti 1.98, 1 Mo 2.07


Relative to the most stable structure, the computed energies are P 0.000; Q 0.027, all in eV/atom.


P | ## TaMo3O (PBE with a Hubbard U)

Data for a relaxed TaMo3O crystal.

## Properties
Total magnetic moment ... 2.6 Bohr magnetons per cell
Density of states at the Fermi level ... 0.9005 states/eV per atom
Crystal system ... cubic

Cell lengths 4.2268, 4.2268, 4.2268 Å; angles 90.00, 90.00, 90.00 degrees
Last column: nearest neighbours and their distance in Å.
Space group Pm-3m (No. 221)
Inequivalent atoms, fractional coordinates:
Ta1 0.0000 0.0000 0.0000 x1  12 Mo 2.99
Mo1 0.0000 0.5000 0.5000 x3  2 O 2.11
O1 0.5000 0.5000 0.5000 x1  6 Mo 2.11


Q | ## TaMo3O (PBE with a Hubbard U)

Data for a relaxed TaMo3O crystal.

## Properties
Total magnetic moment ... 9.6 Bohr magnetons per cell
Density of states at the Fermi level ... 1.0643 states/eV per atom
Crystal system ... cubic

Cell lengths 5.1262, 5.1262, 5.1262 Å; angles 90.00, 90.00, 90.00 degrees
Last column: nearest neighbours and their distance in Å.
Space group Pm-3m (No. 221)
Inequivalent atoms, fractional coordinates:
Ta1 0.0000 0.0000 0.0000 x1  6 Mo 2.56
Mo1 0.0000 0.0000 0.5000 x3  2 Ta 2.56
O1 0.5000 0.5000 0.5000 x1  12 Mo 3.62


Relative to the most stable structure, the computed energies are P 0.000; Q 1.948, all in eV/atom.


P | ## Ta3MoO (PBE with a Hubbard U)

Data for a relaxed Ta3MoO crystal.

## Properties
Total magnetic moment ... 0.0 Bohr magnetons per cell
Density of states at the Fermi level ... 2.0362 states/eV per atom
Crystal system ... cubic

Cell lengths 4.8358, 4.8358, 4.8358 Å; angles 90.00, 90.00, 90.00 degrees
Last column: nearest neighbours and their distance in Å.
Space group Pm-3m (No. 221)
Inequivalent atoms, fractional coordinates:
Ta1 0.0000 0.0000 0.5000 x3  2 Mo 2.42
Mo1 0.0000 0.0000 0.0000 x1  6 Ta 2.42
O1 0.5000 0.5000 0.5000 x1  12 Ta 3.42


Q | ## Ta3MoO (PBE with a Hubbard U)

Data for a relaxed Ta3MoO crystal.

## Properties
Total magnetic moment ... 2.0 Bohr magnetons per cell
Density of states at the Fermi level ... 0.4708 states/eV per atom
Crystal system ... cubic

Cell lengths 4.2907, 4.2907, 4.2907 Å; angles 90.00, 90.00, 90.00 degrees
Last column: nearest neighbours and their distance in Å.
Space group Pm-3m (No. 221)
Inequivalent atoms, fractional coordinates:
Ta1 0.0000 0.0000 0.5000 x3  2 O 2.15
Mo1 0.5000 0.5000 0.5000 x1  12 Ta 3.03
O1 0.0000 0.0000 0.0000 x1  6 Ta 2.15


Relative to the most stable structure, the computed energies are P 2.440; Q 0.000, all in eV/atom.


P | ## TbMoO5 (PBE with a Hubbard U)

Data for a relaxed TbMoO5 crystal.

## Properties
Total magnetic moment ... 4.1 Bohr magnetons per cell
Density of states at the Fermi level ... 0.3260 states/eV per atom
Crystal system ... monoclinic

Cell lengths 9.0821, 6.4667, 7.6719 Å; angles 90.00, 114.72, 90.00 degrees
Last column: nearest neighbours and their distance in Å.
Space group C2/c (No. 15)
Inequivalent atoms, fractional coordinates:
Tb1 0.0000 0.0536 0.2500 x4  7 O 2.26-2.46
Mo1 0.0000 0.5000 0.0000 x4  6 O 1.88-1.98
O1 0.0000 0.4228 0.2500 x4  2 Mo 1.98
O2 0.0089 0.2075 0.9613 x8  1 Mo 1.92
O3 0.2281 0.4836 0.6155 x8  1 Mo 1.88


Q | ## TbMoO5 (PBE with a Hubbard U)

Data for a relaxed TbMoO5 crystal.

## Properties
Total magnetic moment ... 0.0 Bohr magnetons per cell
Density of states at the Fermi level ... 0.0000 states/eV per atom
Crystal system ... monoclinic

Cell lengths 5.3805, 12.6215, 6.9626 Å; angles 90.00, 117.28, 90.00 degrees
Last column: nearest neighbours and their distance in Å.
Space group P2_1/c (No. 14)
Inequivalent atoms, fractional coordinates:
Tb1 0.1562 0.0591 0.2831 x4  8 O 2.30-2.43
Mo1 0.4086 0.1354 0.8500 x4  4 O 1.76-1.87
O1 0.0391 0.5559 0.9845 x4  1 O 1.52
O2 0.2020 0.0589 0.9571 x4  1 Mo 1.87
O3 0.2694 0.2360 0.2649 x4  1 Mo 1.77
O4 0.2708 0.6568 0.4185 x4  1 Mo 1.76
O5 0.4853 0.5760 0.8439 x4  1 Mo 1.85


Relative to the most stable structure, the computed energies are P 0.168; Q 0.000, all in eV/atom.